Record 1
Compound: CdInOs2
Source: Alexandria
Functional: GGA-PBEsol
Structure: relaxed

```
4
Lattice="-1.687 2.268 0.101 -0.947 -2.247 -1.433 -3.941 -3.277 7.745" Properties=species:S:1:pos:R:3 pbc="T T T"
Cd -3.288 -1.628 3.207
In -1.317 0.011 -0.666
Os -0.967 -0.804 1.899
Os -2.974 -2.473 5.845
```

For the formation energy, the calculation gives 0.74 eV/atom.

Record 2
Compound: Tl3SeS
Source: Alexandria
Functional: GGA-PBEsol
Structure: relaxed

```
5
Lattice="-5.358 -0.337 0.701 -0.429 -2.791 -4.619 0.648 -4.627 2.736" Properties=species:S:1:pos:R:3 pbc="T T T"
Tl -0.214 -1.396 -2.310
Tl 0.324 -2.314 1.368
Tl -2.679 -0.168 0.350
S 0.000 0.000 0.000
Se -2.569 -3.877 -0.592
```

The uncorrected formation energy is 64.1 kJ/mol of formula units.

Record 3
Compound: CdMo3H
Source: Alexandria
Functional: GGA-PBEsol
Structure: relaxed

```
5
Lattice="4.842 0.000 0.000 0.000 4.842 0.000 0.000 0.000 4.842" Properties=species:S:1:pos:R:3 pbc="T T T"
H 2.421 2.421 2.421
Mo 0.000 2.421 0.000
Mo 0.000 0.000 2.421
Mo 2.421 0.000 0.000
Cd 0.000 0.000 0.000
```

Record 4
Compound: Tb4CdCo
Source: Alexandria
Functional: GGA-PBEsol
Structure: relaxed

```
24
Lattice="-0.735 -5.096 7.790 7.687 -2.604 4.618 1.989 3.822 8.285" Properties=species:S:1:pos:R:3 pbc="T T T"
Tb 6.473 -2.353 6.781
Tb 4.622 -4.875 8.440
Tb 0.270 -2.162 4.208
Tb 2.469 -1.526 13.912
Tb 7.711 0.026 11.938
Tb 3.172 -3.145 5.952
Tb 6.015 -5.525 11.630
Tb 5.841 -2.533 13.517
Tb 3.450 -1.221 3.011
Tb 1.130 -0.938 10.687
Tb 4.201 0.222 6.139
Tb 1.231 -3.904 8.755
Tb 1.299 1.205 4.395
Tb 6.291 0.589 8.743
Tb 1.021 -0.719 7.336
Tb 2.926 1.647 9.063
Cd 3.519 -3.262 11.185
Cd 4.392 -0.404 11.344
Cd 6.218 -2.463 10.169
Cd 3.754 -1.629 8.689
Co 6.814 -4.997 14.164
Co 4.331 -2.197 15.762
Co 7.680 -3.331 17.774
Co 8.001 -1.111 14.380
```

For the formation energy, the calculation gives -0.26 eV/atom.

Record 5
Compound: BaLaY3
Source: Alexandria
Functional: GGA-PBEsol
Structure: relaxed

```
5
Lattice="5.745 0.000 0.000 0.000 5.745 0.000 0.000 0.000 5.745" Properties=species:S:1:pos:R:3 pbc="T T T"
Y 0.000 2.873 0.000
Y 0.000 0.000 2.873
Y 2.873 0.000 0.000
Ba 2.873 2.873 2.873
La 0.000 0.000 0.000
```

The value obtained for the excess energy over the best structure of this formula in the dataset is 0.000 eV/atom. For the formation energy, the calculation gives 0.50 eV/atom.

Record 6
Compound: SrLaB12
Source: Alexandria
Functional: GGA-PBEsol
Structure: relaxed

```
14
Lattice="-2.498 -2.874 -1.645 3.227 -2.576 -0.400 -1.490 -3.045 7.587" Properties=species:S:1:pos:R:3 pbc="T T T"
Sr -0.745 -1.523 3.793
B 0.740 -2.624 1.357
B -0.008 -4.153 5.168
B -0.230 -3.940 2.003
B -0.977 -5.466 5.807
B -0.971 -2.713 0.985
B -1.720 -4.243 4.796
B 0.215 -3.029 -0.264
B -0.532 -4.556 3.539
B 0.958 -4.253 0.746
B 0.210 -5.783 4.557
B -0.753 -4.342 0.374
B -1.502 -5.872 4.185
La 0.000 0.000 0.000
```

For the formation energy, the calculation gives -0.53 eV/atom.

Record 7
Compound: Y2PCl
Source: Alexandria
Functional: GGA-PBEsol
Structure: relaxed

```
4
Lattice="-1.756 -1.701 -2.717 -0.176 -3.100 2.055 -4.694 4.341 2.774" Properties=species:S:1:pos:R:3 pbc="T T T"
Cl -1.457 -2.232 -0.119
P -3.420 -0.408 2.466
Y -6.049 -0.658 1.863
Y -3.292 -0.023 -0.317
```

The uncorrected formation energy is -541.4 kJ/mol of formula units.

Record 8
Compound: TaCuSe3
Source: Alexandria
Functional: GGA-PBEsol
Structure: relaxed

```
5
Lattice="-3.908 2.432 0.011 -2.391 -3.839 -0.857 -0.444 -0.733 4.523" Properties=species:S:1:pos:R:3 pbc="T T T"
Cu 0.000 0.000 0.000
Se -1.196 -1.919 -0.429
Se -0.222 -0.367 2.261
Se -1.954 1.216 0.005
Ta -3.372 -1.070 1.838
```

The uncorrected formation energy is 352.4 kJ/mol of formula units.

Record 9
Compound: Nd2HfS5
Source: Alexandria
Functional: GGA-PBEsol
Structure: relaxed

```
32
Lattice="-5.572 -4.427 1.376 -0.287 -2.029 -7.691 7.228 -8.486 1.969" Properties=species:S:1:pos:R:3 pbc="T T T"
Nd -0.306 -5.786 -2.585
Nd 5.418 -9.251 -5.994
Nd 1.817 -8.144 2.076
Nd -4.193 -6.703 -2.189
Nd 1.674 -9.157 -1.761
Nd -4.050 -5.691 1.648
Nd -0.449 -6.798 -6.422
Nd 5.561 -8.239 -2.157
Hf -1.684 -8.772 0.318
Hf 3.891 -11.457 0.818
Hf 3.052 -6.170 -4.664
Hf -2.523 -3.485 -5.164
S 3.209 -5.751 1.093
S -1.387 -3.056 -2.956
S -1.719 -8.326 -2.162
S 2.633 -12.751 -4.667
S -1.841 -9.191 -5.439
S 2.755 -11.886 -1.390
S 3.087 -6.616 -2.184
S -1.264 -2.191 0.321
S 1.349 -3.813 -1.104
S 3.841 -8.948 0.158
S 0.019 -11.129 -3.242
S -2.473 -5.994 -4.504
S 0.401 -7.174 -0.181
S 1.866 -13.124 1.334
S 0.967 -7.768 -4.165
S -0.498 -1.818 -5.680
S 0.413 -10.196 0.615
S -2.294 -5.232 -0.593
S 0.955 -4.746 -4.961
S 3.662 -9.710 -3.753
```

The uncorrected formation energy is -1524.9 kJ/mol of formula units.

Record 10
Compound: LaTcSe2
Source: Alexandria
Functional: GGA-PBEsol
Structure: relaxed

```
4
Lattice="3.721 0.000 0.000 0.000 3.721 0.000 0.000 0.000 6.165" Properties=species:S:1:pos:R:3 pbc="T T T"
La 1.860 1.860 4.854
Se 0.000 0.000 6.090
Se 1.860 1.860 1.937
Tc 0.000 0.000 2.530
```

The value obtained for the excess energy over the best structure of this formula in the dataset is 0.000 eV/atom. The uncorrected formation energy is -219.9 kJ/mol of formula units.

Record 11
Compound: Ti2RhSeI
Source: Alexandria
Functional: GGA-PBEsol
Structure: relaxed

```
5
Lattice="4.534 0.000 0.000 0.000 4.748 0.000 0.000 0.000 4.748" Properties=species:S:1:pos:R:3 pbc="T T T"
I 2.267 2.374 2.374
Rh 2.267 0.000 0.000
Se 0.000 0.000 0.000
Ti 0.000 0.000 2.374
Ti 0.000 2.374 0.000
```

The uncorrected formation energy is 81.9 kJ/mol of formula units.

Record 12
Compound: NiPtSCl2
Source: Alexandria
Functional: GGA-PBEsol
Structure: relaxed

```
5
Lattice="4.648 0.000 0.000 0.000 4.749 0.000 0.000 0.000 4.749" Properties=species:S:1:pos:R:3 pbc="T T T"
Ni 2.324 2.374 2.374
S 2.324 0.000 0.000
Pt 0.000 0.000 0.000
Cl 0.000 0.000 2.374
Cl 0.000 2.374 0.000
```

The uncorrected formation energy is 300.5 kJ/mol of formula units.

Record 13
Compound: TaAsCl
Source: Alexandria
Functional: GGA-PBEsol
Structure: relaxed

```
3
Lattice="4.257 0.000 0.000 2.128 3.686 0.000 2.128 1.229 3.475" Properties=species:S:1:pos:R:3 pbc="T T T"
As 4.257 2.458 1.738
Ta 0.000 0.000 0.000
Cl 6.385 3.686 2.607
```

The value obtained for the excess energy over the best structure of this formula in the dataset is 1.190 eV/atom. The uncorrected formation energy is 250.8 kJ/mol of formula units.

Record 14
Compound: Be2In2Ga
Source: Alexandria
Functional: GGA-PBEsol
Structure: relaxed

```
5
Lattice="4.484 0.000 0.000 0.000 4.484 0.000 0.000 0.000 5.798" Properties=species:S:1:pos:R:3 pbc="T T T"
Be 0.000 2.242 0.000
Be 2.242 0.000 0.000
Ga 2.242 2.242 2.899
In 0.000 0.000 0.000
In 0.000 0.000 2.899
```

For the formation energy, the calculation gives 0.91 eV/atom.

Record 15
Compound: NdAl2Au2
Source: Alexandria
Functional: GGA-PBEsol
Structure: relaxed

```
10
Lattice="4.372 0.000 0.000 0.000 4.372 0.000 0.000 0.000 10.326" Properties=species:S:1:pos:R:3 pbc="T T T"
Au 0.000 0.000 0.000
Au 2.186 2.186 0.000
Au 0.000 2.186 6.502
Au 2.186 0.000 3.825
Nd 0.000 2.186 2.566
Nd 2.186 0.000 7.760
Al 0.000 0.000 5.163
Al 2.186 2.186 5.163
Al 0.000 2.186 8.977
Al 2.186 0.000 1.349
```

For the formation energy, the calculation gives -0.77 eV/atom.

Record 16
Compound: Cs2NdCuI6
Source: Alexandria
Functional: GGA-PBEsol
Structure: relaxed

```
10
Lattice="8.304 0.000 0.000 4.152 7.192 0.000 4.152 2.397 6.780" Properties=species:S:1:pos:R:3 pbc="T T T"
Cs 12.456 7.192 5.085
Cs 4.152 2.397 1.695
I 8.304 2.290 1.619
I 10.473 6.047 1.619
I 8.304 7.299 5.161
I 10.473 3.542 5.161
I 6.135 6.047 1.619
I 6.135 3.542 5.161
Nd 8.304 4.794 3.390
Cu 0.000 0.000 0.000
```

The uncorrected formation energy is -1116.7 kJ/mol of formula units.

Record 17
Compound: ZrTlSb3
Source: Alexandria
Functional: GGA-PBEsol
Structure: relaxed

```
5
Lattice="5.434 0.000 0.000 0.000 5.434 0.000 0.000 0.000 5.434" Properties=species:S:1:pos:R:3 pbc="T T T"
Sb 0.000 2.717 0.000
Sb 0.000 0.000 2.717
Sb 2.717 0.000 0.000
Tl 0.000 0.000 0.000
Zr 2.717 2.717 2.717
```

The uncorrected formation energy is 537.7 kJ/mol of formula units.

Record 18
Compound: SrLi2Ca
Source: Alexandria
Functional: GGA-PBEsol
Structure: relaxed

```
4
Lattice="-1.876 3.159 -2.148 -4.082 -0.435 2.925 3.406 2.657 5.148" Properties=species:S:1:pos:R:3 pbc="T T T"
Sr 0.483 0.828 0.797
Ca -0.069 3.167 4.718
Li 0.650 4.305 1.548
Li -2.049 2.958 1.924
```

The value obtained for the excess energy over the best structure of this formula in the dataset is 0.015 eV/atom. For the formation energy, the calculation gives 0.04 eV/atom.

Record 19
Compound: Sr3ScNb
Source: Alexandria
Functional: GGA-PBEsol
Structure: relaxed

```
5
Lattice="5.755 0.000 0.000 0.000 5.755 0.000 0.000 0.000 5.755" Properties=species:S:1:pos:R:3 pbc="T T T"
Sc 2.878 2.878 2.878
Sr 0.000 2.878 0.000
Sr 0.000 0.000 2.878
Sr 2.878 0.000 0.000
Nb 0.000 0.000 0.000
```

The value obtained for the excess energy over the best structure of this formula in the dataset is 0.000 eV/atom. For the formation energy, the calculation gives 1.10 eV/atom.

Record 20
Compound: MgZr4Zn
Source: Alexandria
Functional: GGA-PBEsol
Structure: relaxed

```
6
Lattice="5.680 0.000 0.000 2.840 4.919 0.000 2.840 1.640 4.637" Properties=species:S:1:pos:R:3 pbc="T T T"
Mg 8.519 4.919 3.478
Zn 0.000 0.000 0.000
Zr 4.262 2.461 1.740
Zr 5.680 3.279 4.054
Zr 7.097 2.461 1.740
Zr 5.680 4.916 1.740
```

For the formation energy, the calculation gives 0.34 eV/atom.

Record 21
Compound: In2AsCl
Source: Alexandria
Functional: GGA-PBEsol
Structure: relaxed

```
4
Lattice="-2.497 3.090 -1.138 0.005 -1.426 -3.880 -4.609 -3.282 1.200" Properties=species:S:1:pos:R:3 pbc="T T T"
As -0.936 1.158 -0.427
Cl -4.487 0.350 -2.336
In -2.183 1.992 -2.936
In -3.241 -0.481 0.173
```

The value obtained for the excess energy over the best structure of this formula in the dataset is 0.000 eV/atom. The uncorrected formation energy is -134.7 kJ/mol of formula units.

Record 22
Compound: Ta2TeOsF
Source: Alexandria
Functional: GGA-PBEsol
Structure: relaxed

```
5
Lattice="-1.931 1.310 -3.070 -4.375 -0.708 2.450 0.269 4.710 1.841" Properties=species:S:1:pos:R:3 pbc="T T T"
F -0.966 0.655 -1.535
Te 0.000 0.000 0.000
Os -3.019 2.656 0.611
Ta 0.134 2.355 0.920
Ta -2.188 -0.354 1.225
```

The uncorrected formation energy is 646.0 kJ/mol of formula units.

Record 23
Compound: CeFeAsO
Source: Alexandria
Functional: GGA-PBEsol
Structure: relaxed

```
8
Lattice="3.910 0.000 0.000 0.000 3.910 0.000 0.000 0.000 7.906" Properties=species:S:1:pos:R:3 pbc="T T T"
Ce 0.000 1.955 6.676
Ce 1.955 0.000 1.230
Fe 0.000 0.000 3.953
Fe 1.955 1.955 3.953
As 0.000 1.955 2.760
As 1.955 0.000 5.146
O 0.000 0.000 0.000
O 1.955 1.955 0.000
```

The uncorrected formation energy is -707.5 kJ/mol of formula units.

Record 24
Compound: LiV4O5F7
Source: Alexandria
Functional: GGA-PBEsol
Structure: relaxed

```
17
Lattice="5.073 0.027 0.007 2.544 4.611 0.007 0.105 2.715 8.248" Properties=species:S:1:pos:R:3 pbc="T T T"
Li 2.592 3.923 3.380
V 0.292 2.738 8.147
V 2.651 4.471 6.294
V 4.985 5.784 4.070
V 5.282 2.980 2.125
O 1.506 2.014 2.730
O 1.592 3.639 7.556
O 3.058 5.859 7.244
O 3.609 5.011 4.768
O 5.644 4.463 3.118
F 2.132 2.927 5.057
F 3.513 3.974 1.558
F 4.018 2.391 3.474
F 4.153 3.392 6.801
F 4.565 1.539 1.021
F 6.133 5.374 5.578
F 6.085 3.737 0.621
```

The uncorrected formation energy is -4384.2 kJ/mol of formula units.

Record 25
Compound: TiTl2GaFe
Source: Alexandria
Functional: GGA-PBEsol
Structure: relaxed

```
5
Lattice="4.488 0.000 0.000 0.000 4.923 0.000 0.000 0.000 4.923" Properties=species:S:1:pos:R:3 pbc="T T T"
Tl 0.000 0.000 2.462
Tl 0.000 2.462 0.000
Fe 0.000 0.000 0.000
Ga 2.244 0.000 0.000
Ti 2.244 2.462 2.462
```

For the formation energy, the calculation gives 0.62 eV/atom.

no.,spin magnetization (μB per cell),calculated total energy (Ha/atom)
1,0.00,-0.2357
2,0.00,-0.1136
3,0.00,-0.1660
4,0.00,-0.1869
5,0.00,-0.1873
6,0.00,-0.2592
7,0.30,-0.2486
8,1.41,-0.1822
9,0.00,-0.2690
10,1.31,-0.2443
11,0.00,-0.2172
12,1.37,-0.1353
13,0.00,-0.2091
14,0.00,-0.0938
15,0.00,-0.1842
16,0.00,-0.1233
17,0.00,-0.1457
18,0.00,-0.0712
19,1.25,-0.1282
20,0.00,-0.2305
21,0.00,-0.1330
22,0.24,-0.2652
23,0.89,-0.3055
24,4.02,-0.2717
25,3.51,-0.1674